Record 1
{"formula": "Th2RePb", "functional": "GGA-PBE", "state": "optimized geometry", "spacegroup": "No. 166", "dos_at_fermi_per_ev_cell": 3.75, "rho_g_cm3": 13.037, "dft_energy_ev_per_cell": -28.6, "lattice_angstrom": [[1.679, 0.969, 11.187], [-1.679, 0.969, 11.187], [0.000, -1.938, 11.187]], "species": ["Th", "Th", "Re", "Pb"], "frac_coords": [[0.078, 0.078, 0.078], [0.922, 0.922, 0.922], [0.000, 0.000, 0.000], [0.500, 0.500, 0.500]]}

Record 2
{"formula": "TiRe2Pb2", "functional": "GGA-PBE", "state": "optimized geometry", "spacegroup": "No. 127", "dos_at_fermi_per_ev_cell": 10.75, "rho_g_cm3": 13.895, "dft_energy_ev_per_cell": -70.1, "lattice_angstrom": [[7.889, 0.000, 0.000], [0.000, 7.889, 0.000], [0.000, 0.000, 3.205]], "species": ["Ti", "Ti", "Re", "Re", "Re", "Re", "Pb", "Pb", "Pb", "Pb"], "frac_coords": [[0.000, 0.000, 0.000], [0.500, 0.500, 0.000], [0.115, 0.385, 0.500], [0.385, 0.885, 0.500], [0.615, 0.115, 0.500], [0.885, 0.615, 0.500], [0.177, 0.677, 0.000], [0.323, 0.177, 0.000], [0.677, 0.823, 0.000], [0.823, 0.323, 0.000]]}